Record 1
Computed, not measured: a relaxed Pm4SmEr7 crystal at the PBE-GGA level of DFT.

a = 6.556 Å, b = 6.822 Å, c = 9.036 Å
α = 84.61°, β = 77.05°, γ = 81.30°
Element x y z (fractional)
Pm1 0.138 0.308 0.287
Pm2 0.334 0.885 0.691
Pm3 0.666 0.115 0.309
Pm4 0.862 0.692 0.713
Sm1 0.500 0.500 0.000
Er1 0.014 0.251 0.951
Er2 0.181 0.799 0.357
Er3 0.313 0.394 0.616
Er4 0.500 0.000 0.000
Er5 0.687 0.606 0.384
Er6 0.819 0.201 0.643
Er7 0.986 0.749 0.049

Values from the calculation:
N(E_F): 19.2 states/eV/cell
E: -4.553 eV/atom
ΔE to the lowest computed polymorph: 0.00 eV per formula unit
Space-group type: P-1 (2)
Magnetization: 0.0 Bohr magnetons per cell
Formation energy from the elements: 1.03 eV per formula unit

***

Record 2
Computed, not measured: a relaxed Pm5SmEr3 crystal at the PBE-GGA level of DFT.

a = 9.726 Å, b = 9.726 Å, c = 9.726 Å
α = 123.69°, β = 123.69°, γ = 83.72°
Element x y z (fractional)
Pm1 0.000 0.000 0.000
Pm2 0.069 0.569 0.902
Pm3 0.167 0.069 0.500
Pm4 0.333 0.833 0.902
Pm5 0.431 0.333 0.500
Pm6 0.500 0.500 0.000
Pm7 0.569 0.667 0.500
Pm8 0.667 0.167 0.098
Pm9 0.833 0.931 0.500
Pm10 0.931 0.431 0.098
Sm1 0.250 0.750 0.500
Sm2 0.750 0.250 0.500
Er1 0.111 0.389 0.500
Er2 0.250 0.250 0.000
Er3 0.389 0.889 0.278
Er4 0.611 0.111 0.722
Er5 0.750 0.750 0.000
Er6 0.889 0.611 0.500

Values from the calculation:
N(E_F): 26.2 states/eV/cell
E: -4.380 eV/atom
ΔE to the lowest computed polymorph: 1.56 eV per formula unit
Space-group type: I4/mcm (140)
Magnetization: 0.0 Bohr magnetons per cell
Formation energy from the elements: 2.74 eV per formula unit

***

Record 3
Computed, not measured: a relaxed PmSmErSn crystal at the PBE-GGA level of DFT.

a = 5.463 Å, b = 5.463 Å, c = 5.463 Å
α = 60.00°, β = 60.00°, γ = 60.00°
Element x y z (fractional)
Pm1 0.000 0.000 0.000
Sm1 0.750 0.750 0.750
Er1 0.250 0.250 0.250
Sn1 0.500 0.500 0.500

Values from the calculation:
N(E_F): 7.8 states/eV/cell
E: -4.730 eV/atom
Space-group type: F-43m (216)
Magnetization: 0.0 Bohr magnetons per cell
Formation energy from the elements: -0.88 eV per formula unit

***

Record 4
Computed, not measured: a relaxed Tb6PmSmEr2 crystal at the PBE-GGA level of DFT.

a = 8.792 Å, b = 8.792 Å, c = 9.570 Å
α = 93.77°, β = 93.77°, γ = 117.36°
Element x y z (fractional)
Tb1 0.020 0.567 0.182
Tb2 0.117 0.753 0.556
Tb3 0.247 0.883 0.944
Tb4 0.293 0.511 0.381
Tb5 0.433 0.980 0.318
Tb6 0.489 0.707 0.119
Tb7 0.511 0.293 0.881
Tb8 0.567 0.020 0.682
Tb9 0.707 0.489 0.619
Tb10 0.753 0.117 0.056
Tb11 0.883 0.247 0.444
Tb12 0.980 0.433 0.818
Pm1 0.408 0.592 0.750
Pm2 0.592 0.408 0.250
Sm1 0.028 0.972 0.250
Sm2 0.972 0.028 0.750
Er1 0.197 0.299 0.046
Er2 0.299 0.197 0.546
Er3 0.701 0.803 0.454
Er4 0.803 0.701 0.954

Values from the calculation:
N(E_F): 29.8 states/eV/cell
E: -4.516 eV/atom
Space-group type: C2/c (15)
Magnetization: 0.0 Bohr magnetons per cell
Formation energy from the elements: 1.22 eV per formula unit

***

Record 5
Computed, not measured: a relaxed TbPm2Sm4Er2 crystal at the PBE-GGA level of DFT.

a = 6.052 Å, b = 6.687 Å, c = 8.674 Å
α = 79.95°, β = 70.53°, γ = 64.67°
Element x y z (fractional)
Tb1 0.000 0.000 0.000
Pm1 0.267 0.676 0.656
Pm2 0.733 0.324 0.344
Sm1 0.265 0.419 0.118
Sm2 0.377 0.870 0.242
Sm3 0.623 0.130 0.758
Sm4 0.735 0.581 0.882
Er1 0.181 0.229 0.556
Er2 0.819 0.771 0.444

Values from the calculation:
N(E_F): 13.7 states/eV/cell
E: -4.608 eV/atom
Space-group type: P-1 (2)
Magnetization: 0.0 Bohr magnetons per cell
Formation energy from the elements: 0.66 eV per formula unit

***

Record 6
Computed, not measured: a relaxed Tb3Pm6Sm2Er crystal at the PBE-GGA level of DFT.

a = 6.263 Å, b = 6.263 Å, c = 11.939 Å
α = 95.01°, β = 95.01°, γ = 119.99°
Element x y z (fractional)
Tb1 0.000 0.000 0.000
Tb2 0.334 0.666 0.000
Tb3 0.666 0.334 0.000
Pm1 0.084 0.416 0.249
Pm2 0.251 0.251 0.751
Pm3 0.416 0.084 0.249
Pm4 0.584 0.916 0.751
Pm5 0.749 0.749 0.249
Pm6 0.916 0.584 0.751
Sm1 0.167 0.833 0.500
Sm2 0.833 0.167 0.500
Er1 0.500 0.500 0.500

Values from the calculation:
N(E_F): 15.3 states/eV/cell
E: -4.687 eV/atom
Space-group type: C2/m (12)
Magnetization: 0.0 Bohr magnetons per cell
Formation energy from the elements: 0.15 eV per formula unit

***

Record 7
Computed, not measured: a relaxed Tb2Pm2SmEr2 crystal at the PBE-GGA level of DFT.

a = 6.118 Å, b = 6.118 Å, c = 11.856 Å
α = 108.55°, β = 108.55°, γ = 33.53°
Element x y z (fractional)
Tb1 0.051 0.051 0.270
Tb2 0.949 0.949 0.730
Pm1 0.170 0.170 0.583
Pm2 0.830 0.830 0.417
Sm1 0.500 0.500 0.000
Er1 0.275 0.275 0.137
Er2 0.725 0.725 0.863

Values from the calculation:
N(E_F): 12.0 states/eV/cell
E: -4.572 eV/atom
Space-group type: C2/m (12)
Magnetization: 0.0 Bohr magnetons per cell
Formation energy from the elements: 0.61 eV per formula unit

***

Record 8
Computed, not measured: a relaxed Tb2Pm6SmEr3 crystal at the PBE-GGA level of DFT.

a = 6.242 Å, b = 6.242 Å, c = 11.851 Å
α = 95.02°, β = 95.02°, γ = 119.99°
Element x y z (fractional)
Tb1 0.167 0.833 0.000
Tb2 0.833 0.167 0.000
Pm1 0.082 0.415 0.748
Pm2 0.251 0.251 0.252
Pm3 0.415 0.082 0.748
Pm4 0.585 0.918 0.252
Pm5 0.749 0.749 0.748
Pm6 0.918 0.585 0.252
Sm1 0.500 0.500 0.000
Er1 0.000 0.000 0.500
Er2 0.333 0.667 0.500
Er3 0.667 0.333 0.500

Values from the calculation:
N(E_F): 14.3 states/eV/cell
E: -4.667 eV/atom
Space-group type: C2/m (12)
Magnetization: 0.0 Bohr magnetons per cell
Formation energy from the elements: 0.16 eV per formula unit

***

Record 9
Computed, not measured: a relaxed TbPmSm6Er2 crystal at the PBE-GGA level of DFT.

a = 8.878 Å, b = 8.878 Å, c = 9.639 Å
α = 93.92°, β = 93.92°, γ = 117.48°
Element x y z (fractional)
Tb1 0.029 0.971 0.750
Tb2 0.971 0.029 0.250
Pm1 0.408 0.592 0.250
Pm2 0.592 0.408 0.750
Sm1 0.017 0.565 0.683
Sm2 0.114 0.758 0.055
Sm3 0.242 0.886 0.445
Sm4 0.294 0.510 0.880
Sm5 0.435 0.983 0.817
Sm6 0.490 0.706 0.620
Sm7 0.510 0.294 0.380
Sm8 0.565 0.017 0.183
Sm9 0.706 0.490 0.120
Sm10 0.758 0.114 0.555
Sm11 0.886 0.242 0.945
Sm12 0.983 0.435 0.317
Er1 0.197 0.296 0.546
Er2 0.296 0.197 0.046
Er3 0.704 0.803 0.954
Er4 0.803 0.704 0.454

Values from the calculation:
N(E_F): 29.5 states/eV/cell
E: -4.563 eV/atom
Space-group type: C2/c (15)
Magnetization: 0.0 Bohr magnetons per cell
Formation energy from the elements: 1.19 eV per formula unit

***

Record 10
Computed, not measured: a relaxed TbPm5SmEr2 crystal at the PBE-GGA level of DFT.

a = 10.527 Å, b = 10.527 Å, c = 10.689 Å
α = 90.00°, β = 90.00°, γ = 148.86°
Element x y z (fractional)
Tb1 0.088 0.912 0.500
Tb2 0.912 0.088 0.000
Pm1 0.021 0.979 0.785
Pm2 0.109 0.891 0.069
Pm3 0.203 0.797 0.749
Pm4 0.219 0.781 0.354
Pm5 0.483 0.517 0.066
Pm6 0.517 0.483 0.566
Pm7 0.781 0.219 0.854
Pm8 0.797 0.203 0.249
Pm9 0.891 0.109 0.569
Pm10 0.979 0.021 0.285
Sm1 0.300 0.700 0.054
Sm2 0.700 0.300 0.554
Er1 0.384 0.616 0.362
Er2 0.389 0.611 0.782
Er3 0.611 0.389 0.282
Er4 0.616 0.384 0.862

Values from the calculation:
N(E_F): 28.5 states/eV/cell
E: -4.544 eV/atom
Space-group type: Cmc2_1 (36)
Magnetization: 0.0 Bohr magnetons per cell
Formation energy from the elements: 1.33 eV per formula unit

***

Record 11
Computed, not measured: a relaxed Tb2Pm2SmEr4 crystal at the PBE-GGA level of DFT.

a = 9.499 Å, b = 9.499 Å, c = 9.547 Å
α = 115.25°, β = 115.25°, γ = 21.81°
Element x y z (fractional)
Tb1 0.147 0.147 0.163
Tb2 0.853 0.853 0.837
Pm1 0.334 0.334 0.499
Pm2 0.666 0.666 0.501
Sm1 0.000 0.000 0.500
Er1 0.186 0.186 0.837
Er2 0.480 0.480 0.164
Er3 0.520 0.520 0.836
Er4 0.814 0.814 0.163

Values from the calculation:
N(E_F): 12.0 states/eV/cell
E: -4.641 eV/atom
Space-group type: C2/m (12)
Magnetization: 0.0 Bohr magnetons per cell
Formation energy from the elements: -0.03 eV per formula unit

***

Record 12
Computed, not measured: a relaxed TbPmSm2Er crystal at the PBE-GGA level of DFT.

a = 7.161 Å, b = 7.161 Å, c = 7.225 Å
α = 90.00°, β = 90.00°, γ = 108.01°
Element x y z (fractional)
Tb1 0.010 0.990 0.750
Tb2 0.990 0.010 0.250
Pm1 0.276 0.724 0.750
Pm2 0.724 0.276 0.250
Sm1 0.309 0.309 0.000
Sm2 0.309 0.309 0.500
Sm3 0.691 0.691 0.000
Sm4 0.691 0.691 0.500
Er1 0.269 0.731 0.250
Er2 0.731 0.269 0.750

Values from the calculation:
N(E_F): 15.7 states/eV/cell
E: -4.275 eV/atom
Space-group type: Cmcm (63)
Magnetization: 0.0 Bohr magnetons per cell
Formation energy from the elements: 2.01 eV per formula unit

***

Record 13
Computed, not measured: a relaxed TbPm6SmEr2 crystal at the PBE-GGA level of DFT.

a = 8.906 Å, b = 8.906 Å, c = 9.662 Å
α = 93.93°, β = 93.93°, γ = 117.53°
Element x y z (fractional)
Tb1 0.029 0.971 0.750
Tb2 0.971 0.029 0.250
Pm1 0.015 0.565 0.684
Pm2 0.114 0.759 0.055
Pm3 0.241 0.886 0.445
Pm4 0.294 0.510 0.881
Pm5 0.435 0.985 0.816
Pm6 0.490 0.706 0.619
Pm7 0.510 0.294 0.381
Pm8 0.565 0.015 0.184
Pm9 0.706 0.490 0.119
Pm10 0.759 0.114 0.555
Pm11 0.886 0.241 0.945
Pm12 0.985 0.435 0.316
Sm1 0.408 0.592 0.250
Sm2 0.592 0.408 0.750
Er1 0.198 0.296 0.546
Er2 0.296 0.198 0.046
Er3 0.704 0.802 0.954
Er4 0.802 0.704 0.454

Values from the calculation:
N(E_F): 29.5 states/eV/cell
E: -4.581 eV/atom
Space-group type: C2/c (15)
Magnetization: 0.0 Bohr magnetons per cell
Formation energy from the elements: 1.17 eV per formula unit

***

Record 14
Computed, not measured: a relaxed Tb6Pm2SmEr3 crystal at the PBE-GGA level of DFT.

a = 6.178 Å, b = 6.178 Å, c = 11.818 Å
α = 94.98°, β = 94.98°, γ = 119.97°
Element x y z (fractional)
Tb1 0.085 0.418 0.754
Tb2 0.248 0.248 0.246
Tb3 0.418 0.085 0.754
Tb4 0.582 0.915 0.246
Tb5 0.752 0.752 0.754
Tb6 0.915 0.582 0.246
Pm1 0.333 0.667 0.500
Pm2 0.667 0.333 0.500
Sm1 0.000 0.000 0.500
Er1 0.167 0.833 0.000
Er2 0.500 0.500 0.000
Er3 0.833 0.167 0.000

Values from the calculation:
N(E_F): 15.7 states/eV/cell
E: -4.624 eV/atom
Space-group type: C2/m (12)
Magnetization: 0.0 Bohr magnetons per cell
Formation energy from the elements: 0.20 eV per formula unit

***

Record 15
Computed, not measured: a relaxed TbPm2Sm2Er2 crystal at the PBE-GGA level of DFT.

a = 8.800 Å, b = 8.800 Å, c = 8.800 Å
α = 37.91°, β = 37.91°, γ = 37.91°
Element x y z (fractional)
Tb1 0.000 0.000 0.000
Pm1 0.139 0.139 0.139
Pm2 0.861 0.861 0.861
Sm1 0.282 0.282 0.282
Sm2 0.718 0.718 0.718
Er1 0.428 0.428 0.428
Er2 0.572 0.572 0.572

Values from the calculation:
N(E_F): 16.0 states/eV/cell
E: -4.537 eV/atom
Space-group type: R-3m (166)
Magnetization: 0.0 Bohr magnetons per cell
Formation energy from the elements: 0.94 eV per formula unit

***

Record 16
Computed, not measured: a relaxed Tb2Pm4Sm2Er crystal at the PBE-GGA level of DFT.

a = 8.079 Å, b = 8.079 Å, c = 8.055 Å
α = 107.56°, β = 107.56°, γ = 36.86°
Element x y z (fractional)
Tb1 0.166 0.166 0.000
Tb2 0.834 0.834 0.000
Pm1 0.055 0.055 0.331
Pm2 0.278 0.278 0.668
Pm3 0.722 0.722 0.332
Pm4 0.945 0.945 0.669
Sm1 0.389 0.389 0.331
Sm2 0.611 0.611 0.669
Er1 0.500 0.500 0.000

Values from the calculation:
N(E_F): 13.6 states/eV/cell
E: -4.679 eV/atom
Space-group type: C2/m (12)
Magnetization: 0.0 Bohr magnetons per cell
Formation energy from the elements: 0.16 eV per formula unit

***

Record 17
Computed, not measured: a relaxed Tb6Pm3Sm2Er crystal at the PBE-GGA level of DFT.

a = 6.218 Å, b = 6.218 Å, c = 11.886 Å
α = 94.99°, β = 94.99°, γ = 119.98°
Element x y z (fractional)
Tb1 0.083 0.416 0.248
Tb2 0.250 0.250 0.751
Tb3 0.416 0.083 0.248
Tb4 0.584 0.917 0.752
Tb5 0.750 0.750 0.249
Tb6 0.917 0.584 0.752
Pm1 0.167 0.833 0.500
Pm2 0.500 0.500 0.500
Pm3 0.833 0.167 0.500
Sm1 0.333 0.667 0.000
Sm2 0.667 0.333 0.000
Er1 0.000 0.000 0.000

Values from the calculation:
N(E_F): 15.2 states/eV/cell
E: -4.656 eV/atom
Space-group type: C2/m (12)
Magnetization: 0.0 Bohr magnetons per cell
Formation energy from the elements: 0.16 eV per formula unit

***

Record 18
Computed, not measured: a relaxed Tb2PmSmEr4 crystal at the PBE-GGA level of DFT.

a = 9.478 Å, b = 9.478 Å, c = 9.478 Å
α = 138.02°, β = 103.40°, γ = 91.42°
Element x y z (fractional)
Tb1 0.000 0.000 0.000
Tb2 0.500 0.000 0.000
Tb3 0.500 0.000 0.500
Tb4 0.500 0.500 0.500
Pm1 0.000 0.500 0.500
Pm2 0.500 0.500 0.000
Sm1 0.000 0.000 0.500
Sm2 0.000 0.500 0.000
Er1 0.251 0.249 0.002
Er2 0.251 0.251 0.499
Er3 0.251 0.752 0.001
Er4 0.253 0.751 0.502
Er5 0.747 0.249 0.498
Er6 0.749 0.248 0.999
Er7 0.749 0.749 0.501
Er8 0.749 0.751 0.998

Values from the calculation:
N(E_F): 33.9 states/eV/cell
E: -4.188 eV/atom
Space-group type: Imma (74)
Magnetization: 6.7 Bohr magnetons per cell
Formation energy from the elements: 3.48 eV per formula unit

***

Record 19
Computed, not measured: a relaxed TbPm2SmEr2 crystal at the PBE-GGA level of DFT.

a = 6.573 Å, b = 18.037 Å, c = 3.393 Å
α = 90.00°, β = 90.00°, γ = 90.00°
Element x y z (fractional)
Tb1 0.000 0.000 0.000
Tb2 0.500 0.500 0.500
Pm1 0.227 0.187 0.000
Pm2 0.273 0.687 0.500
Pm3 0.727 0.313 0.500
Pm4 0.773 0.813 0.000
Sm1 0.000 0.500 0.000
Sm2 0.500 0.000 0.500
Er1 0.226 0.354 0.500
Er2 0.274 0.854 0.000
Er3 0.726 0.146 0.000
Er4 0.774 0.646 0.500

Values from the calculation:
N(E_F): 19.6 states/eV/cell
E: -4.395 eV/atom
Space-group type: Pnnm (58)
Magnetization: 0.0 Bohr magnetons per cell
Formation energy from the elements: 1.61 eV per formula unit

***

Record 20
Computed, not measured: a relaxed TbPm3Sm2Er6 crystal at the PBE-GGA level of DFT.

a = 6.188 Å, b = 6.188 Å, c = 11.737 Å
α = 95.02°, β = 95.02°, γ = 119.98°
Element x y z (fractional)
Tb1 0.000 0.000 0.000
Pm1 0.167 0.833 0.500
Pm2 0.500 0.500 0.500
Pm3 0.833 0.167 0.500
Sm1 0.333 0.667 0.000
Sm2 0.667 0.333 0.000
Er1 0.083 0.416 0.249
Er2 0.250 0.250 0.751
Er3 0.416 0.083 0.249
Er4 0.584 0.917 0.751
Er5 0.750 0.750 0.249
Er6 0.917 0.584 0.751

Values from the calculation:
N(E_F): 14.0 states/eV/cell
E: -4.626 eV/atom
Space-group type: C2/m (12)
Magnetization: 0.0 Bohr magnetons per cell
Formation energy from the elements: 0.19 eV per formula unit